Version 1
# MgNiSbI2, relaxed, DFT GGA-PBE
data_MgNiSbI2
_space_group_name_H-M_alt 'P 1'
_space_group_IT_number 1
_space_group_name_Hall 'P 1'
_cell_length_a 5.581
_cell_length_b 5.581
_cell_length_c 5.666
_cell_angle_alpha 90.00
_cell_angle_beta 90.00
_cell_angle_gamma 90.00
loop_
_atom_site_label
_atom_site_type_symbol
_atom_site_fract_x
_atom_site_fract_y
_atom_site_fract_z
_atom_site_occupancy
Sb1 Sb 0.000 0.000 0.500 1
Mg1 Mg 0.000 0.000 0.000 1
I1 I 0.500 0.000 0.000 1
I2 I 0.000 0.500 0.000 1
Ni1 Ni 0.500 0.500 0.500 1
# * magnetization: 0.53 μB per cell
# * space-group type: P4/mmm
# * density of states at the Fermi level: 7.59 states/eV per cell


Version 2
# MgNiSbI2, relaxed, DFT GGA-PBE
data_MgNiSbI2
_space_group_name_H-M_alt 'P 1'
_space_group_IT_number 1
_space_group_name_Hall 'P 1'
_cell_length_a 5.397
_cell_length_b 5.397
_cell_length_c 4.980
_cell_angle_alpha 90.00
_cell_angle_beta 90.00
_cell_angle_gamma 90.00
loop_
_atom_site_label
_atom_site_type_symbol
_atom_site_fract_x
_atom_site_fract_y
_atom_site_fract_z
_atom_site_occupancy
Sb1 Sb 0.000 0.000 0.500 1
Mg1 Mg 0.500 0.500 0.500 1
Ni1 Ni 0.000 0.000 0.000 1
I1 I 0.000 0.500 0.000 1
I2 I 0.500 0.000 0.000 1
# * magnetization: 0.00 μB per cell
# * space-group type: P4/mmm
# * density of states at the Fermi level: 4.76 states/eV per cell


Stability ranking, top and bottom: version 2 is the most stable and version 1 is the least stable.


Version 1
# MgNiTeI2, relaxed, DFT GGA-PBE
data_MgNiTeI2
_space_group_name_H-M_alt 'P 1'
_space_group_IT_number 1
_space_group_name_Hall 'P 1'
_cell_length_a 5.247
_cell_length_b 5.279
_cell_length_c 5.247
_cell_angle_alpha 90.00
_cell_angle_beta 90.00
_cell_angle_gamma 90.00
loop_
_atom_site_label
_atom_site_type_symbol
_atom_site_fract_x
_atom_site_fract_y
_atom_site_fract_z
_atom_site_occupancy
Mg1 Mg 0.500 0.500 0.500 1
Ni1 Ni 0.000 0.000 0.000 1
Te1 Te 0.000 0.500 0.000 1
I1 I 0.500 0.000 0.000 1
I2 I 0.000 0.000 0.500 1
# * magnetization: 0.00 μB per cell
# * space-group type: P4/mmm
# * density of states at the Fermi level: 4.99 states/eV per cell


Version 2
# MgNiTeI2, relaxed, DFT GGA-PBE
data_MgNiTeI2
_space_group_name_H-M_alt 'P 1'
_space_group_IT_number 1
_space_group_name_Hall 'P 1'
_cell_length_a 5.604
_cell_length_b 5.604
_cell_length_c 5.626
_cell_angle_alpha 90.00
_cell_angle_beta 90.00
_cell_angle_gamma 90.00
loop_
_atom_site_label
_atom_site_type_symbol
_atom_site_fract_x
_atom_site_fract_y
_atom_site_fract_z
_atom_site_occupancy
Te1 Te 0.000 0.000 0.500 1
Mg1 Mg 0.000 0.000 0.000 1
I1 I 0.500 0.000 0.000 1
I2 I 0.000 0.500 0.000 1
Ni1 Ni 0.500 0.500 0.500 1
# * magnetization: 0.16 μB per cell
# * space-group type: P4/mmm
# * density of states at the Fermi level: 9.46 states/eV per cell


Stability ranking, top and bottom: version 1 is the most stable and version 2 is the least stable.